[1]
Here is a relaxed structure of ZrReNi from Alexandria via LeMat-Bulk. Energies are from PBE-GGA.

## Properties
- total magnetization (Bohr magnetons per cell) = 0.00
- offset from the most stable computed form (meV/atom) = 402
- density (g cm⁻³) = 11.7
- energy of formation (kJ per mole of atoms) = 22.4
- density of states at the Fermi level (states/eV/cell) = 3.71

Cell lengths 2.799, 2.799, 7.016 Å; angles 90.00, 90.00, 120.00 degrees
Fractional positions:
Ni  0.000  0.000  0.018
Re  0.667  0.333  0.305
Zr  0.333  0.667  0.678

[2]
Here is a relaxed structure of ZrReNi from Alexandria via LeMat-Bulk. Energies are from PBE-GGA.

## Properties
- total magnetization (Bohr magnetons per cell) = 0.00
- offset from the most stable computed form (meV/atom) = 194
- density (g cm⁻³) = 11.5
- energy of formation (kJ per mole of atoms) = 2.3
- density of states at the Fermi level (states/eV/cell) = 2.23

Cell lengths 5.627, 5.627, 5.627 Å; angles 151.96, 144.55, 45.79 degrees
Fractional positions:
Ni  0.977  0.977  0.000
Re  0.358  0.358  0.000
Zr  0.665  0.665  0.000

[3]
Here is a relaxed structure of ZrRe2Ni from Alexandria via LeMat-Bulk. Energies are from PBE-GGA.

## Properties
- total magnetization (Bohr magnetons per cell) = 0.00
- offset from the most stable computed form (meV/atom) = 0
- density (g cm⁻³) = 13.6
- energy of formation (kJ per mole of atoms) = -4.9
- density of states at the Fermi level (states/eV/cell) = 4.51

Cell lengths 3.091, 3.091, 6.677 Å; angles 90.00, 90.00, 89.99 degrees
Fractional positions:
Ni  0.500  0.500  0.783
Re  0.000  0.000  0.997
Re  0.500  0.500  0.212
Zr  0.000  0.000  0.508

[4]
Here is a relaxed structure of Zr3ReNi from Alexandria via LeMat-Bulk. Energies are from PBE-GGA.

## Properties
- total magnetization (Bohr magnetons per cell) = 0.00
- offset from the most stable computed form (meV/atom) = 226
- density (g cm⁻³) = 6.7
- energy of formation (kJ per mole of atoms) = 85.0
- density of states at the Fermi level (states/eV/cell) = 8.14

Cell lengths 5.039, 5.039, 5.039 Å; angles 90.00, 90.00, 90.00 degrees
Fractional positions:
Re  0.000  0.000  0.000
Zr  0.000  0.500  0.000
Zr  0.000  0.000  0.500
Zr  0.500  0.000  0.000
Ni  0.500  0.500  0.500

[5]
Here is a relaxed structure of ZrReNi from Alexandria via LeMat-Bulk. Energies are from PBE-GGA.

## Properties
- total magnetization (Bohr magnetons per cell) = 1.30
- offset from the most stable computed form (meV/atom) = 1217
- density (g cm⁻³) = 9.7
- energy of formation (kJ per mole of atoms) = 101.0
- density of states at the Fermi level (states/eV/cell) = 5.50

Cell lengths 4.340, 4.340, 4.340 Å; angles 60.00, 60.00, 60.00 degrees
Each line ends with the local moment (μB).
Fractional positions:
Ni  0.000  0.000  0.000  0.34
Re  0.500  0.500  0.500  0.89
Zr  0.750  0.750  0.750  -0.01

[6]
Here is a relaxed structure of Zr2ReNi2 from Alexandria via LeMat-Bulk. Energies are from PBE-GGA.

## Properties
- total magnetization (Bohr magnetons per cell) = 0.00
- density (g cm⁻³) = 9.9
- energy of formation (kJ per mole of atoms) = -20.4
- density of states at the Fermi level (states/eV/cell) = 11.79

Cell lengths 6.642, 6.642, 3.683 Å; angles 90.00, 90.00, 90.00 degrees
Fractional positions:
Re  0.000  0.000  0.000
Re  0.500  0.500  0.000
Zr  0.180  0.680  0.500
Zr  0.680  0.820  0.500
Zr  0.820  0.320  0.500
Zr  0.320  0.180  0.500
Ni  0.376  0.876  0.000
Ni  0.876  0.624  0.000
Ni  0.624  0.124  0.000
Ni  0.124  0.376  0.000

[7]
Here is a relaxed structure of ZrReNi from Alexandria via LeMat-Bulk. Energies are from PBE-GGA.

## Properties
- total magnetization (Bohr magnetons per cell) = 0.00
- offset from the most stable computed form (meV/atom) = 178
- density (g cm⁻³) = 11.8
- energy of formation (kJ per mole of atoms) = 0.8
- density of states at the Fermi level (states/eV/cell) = 2.74

Cell lengths 6.366, 6.370, 2.793 Å; angles 77.27, 77.40, 25.34 degrees
Fractional positions:
Ni  0.986  0.986  0.014
Re  0.352  0.352  0.648
Zr  0.661  0.661  0.339

[8]
Here is a relaxed structure of ZrRe2Ni from Alexandria via LeMat-Bulk. Energies are from PBE-GGA.

## Properties
- total magnetization (Bohr magnetons per cell) = 0.00
- offset from the most stable computed form (meV/atom) = 19
- density (g cm⁻³) = 13.9
- energy of formation (kJ per mole of atoms) = -3.1
- density of states at the Fermi level (states/eV/cell) = 3.12

Cell lengths 3.262, 4.250, 4.513 Å; angles 90.00, 90.00, 90.00 degrees
Fractional positions:
Ni  0.000  0.500  0.500
Re  0.000  0.000  0.000
Re  0.500  0.500  0.000
Zr  0.500  0.000  0.500

[9]
Here is a relaxed structure of ZrRe2Ni from Alexandria via LeMat-Bulk. Energies are from PBE-GGA.

## Properties
- total magnetization (Bohr magnetons per cell) = 0.00
- offset from the most stable computed form (meV/atom) = 167
- density (g cm⁻³) = 14.1
- energy of formation (kJ per mole of atoms) = 11.2
- density of states at the Fermi level (states/eV/cell) = 3.23

Cell lengths 2.713, 2.713, 8.619 Å; angles 90.00, 90.00, 103.70 degrees
Fractional positions:
Ni  0.500  0.500  0.750
Re  0.000  0.000  0.970
Re  0.000  0.000  0.530
Zr  0.500  0.500  0.250

[10]
Here is a relaxed structure of ZrRe2Ni from Alexandria via LeMat-Bulk. Energies are from PBE-GGA.

## Properties
- total magnetization (Bohr magnetons per cell) = 0.00
- offset from the most stable computed form (meV/atom) = 222
- density (g cm⁻³) = 13.6
- energy of formation (kJ per mole of atoms) = 16.5
- density of states at the Fermi level (states/eV/cell) = 4.20

Cell lengths 2.671, 3.911, 6.116 Å; angles 90.00, 90.00, 90.00 degrees
Fractional positions:
Ni  0.500  0.500  0.750
Re  0.000  0.000  0.954
Re  0.000  0.000  0.546
Zr  0.500  0.500  0.250

[11]
Here is a relaxed structure of Zr3ReNi from Alexandria via LeMat-Bulk. Energies are from PBE-GGA.

## Properties
- total magnetization (Bohr magnetons per cell) = 0.00
- offset from the most stable computed form (meV/atom) = 0
- density (g cm⁻³) = 8.1
- energy of formation (kJ per mole of atoms) = 63.2
- density of states at the Fermi level (states/eV/cell) = 5.85

Cell lengths 4.741, 4.741, 4.741 Å; angles 90.00, 90.00, 90.00 degrees
Fractional positions:
Re  0.500  0.500  0.500
Zr  0.000  0.500  0.000
Zr  0.000  0.000  0.500
Zr  0.500  0.000  0.000
Ni  0.000  0.000  0.000

[12]
Here is a relaxed structure of ZrRe2Ni from Alexandria via LeMat-Bulk. Energies are from PBE-GGA.

## Properties
- total magnetization (Bohr magnetons per cell) = 0.00
- offset from the most stable computed form (meV/atom) = 152
- density (g cm⁻³) = 13.5
- energy of formation (kJ per mole of atoms) = 9.7
- density of states at the Fermi level (states/eV/cell) = 3.72

Cell lengths 4.736, 4.736, 4.792 Å; angles 77.95, 77.95, 37.79 degrees
Fractional positions:
Ni  0.257  0.257  0.253
Re  0.000  0.000  0.973
Re  0.737  0.737  0.810
Zr  0.506  0.506  0.464

[13]
Here is a relaxed structure of ZrRe2Ni from Alexandria via LeMat-Bulk. Energies are from PBE-GGA.

## Properties
- total magnetization (Bohr magnetons per cell) = 0.00
- offset from the most stable computed form (meV/atom) = 231
- density (g cm⁻³) = 13.8
- energy of formation (kJ per mole of atoms) = 17.4
- density of states at the Fermi level (states/eV/cell) = 4.61

Cell lengths 9.261, 9.261, 9.261 Å; angles 17.54, 17.54, 17.54 degrees
Fractional positions:
Ni  0.745  0.745  0.745
Re  0.002  0.002  0.002
Re  0.258  0.258  0.258
Zr  0.496  0.496  0.496

[14]
Here is a relaxed structure of ZrRe2Ni from Alexandria via LeMat-Bulk. Energies are from PBE-GGA.

## Properties
- total magnetization (Bohr magnetons per cell) = 0.00
- offset from the most stable computed form (meV/atom) = 475
- density (g cm⁻³) = 12.8
- energy of formation (kJ per mole of atoms) = 40.9
- density of states at the Fermi level (states/eV/cell) = 6.96

Cell lengths 3.706, 3.706, 10.187 Å; angles 79.52, 79.52, 90.00 degrees
Fractional positions:
Re  0.599  0.125  0.250
Re  0.151  0.625  0.250
Re  0.375  0.401  0.750
Re  0.875  0.849  0.750
Zr  0.000  0.000  0.000
Zr  0.750  0.250  0.500
Ni  0.500  0.500  0.000
Ni  0.250  0.750  0.500

[15]
Here is a relaxed structure of ZrRe2Ni from Alexandria via LeMat-Bulk. Energies are from PBE-GGA.

## Properties
- total magnetization (Bohr magnetons per cell) = 0.00
- offset from the most stable computed form (meV/atom) = 129
- density (g cm⁻³) = 13.7
- energy of formation (kJ per mole of atoms) = 7.5
- density of states at the Fermi level (states/eV/cell) = 4.13

Cell lengths 5.280, 5.280, 5.280 Å; angles 144.68, 131.45, 61.45 degrees
Fractional positions:
Ni  0.250  0.750  0.500
Re  0.005  0.005  0.000
Re  0.495  0.495  0.000
Zr  0.750  0.250  0.500